Density functional theory data (GGA-PBEsol) for an optimized crystal structure of Cr2TcMo.

Computed properties:
**Energy of formation from the pure elements**: 0.1076 eV/atom
**Energy above the lowest structure with this stoichiometry**: 36 meV per atom
**N(E_F)**: 0.971 states/eV/atom
**Density**: 9.5 g cm⁻³

Cell and atoms, written as CIF:
```
data_Cr2TcMo
_space_group_name_H-M_alt 'I m m m'
_space_group_IT_number 71
_space_group_name_Hall '-I 2 2'
_cell_length_a 2.978
_cell_length_b 4.235
_cell_length_c 8.281
_cell_angle_alpha 90.00
_cell_angle_beta 90.00
_cell_angle_gamma 90.00
loop_
_atom_site_label
_atom_site_type_symbol
_atom_site_fract_x
_atom_site_fract_y
_atom_site_fract_z
Cr1 Cr 0.000 0.000 0.247
Tc1 Tc 0.000 0.500 0.000
Mo1 Mo 0.000 0.500 0.500
```